Record 1
The following is a PBE-GGA calculation of a relaxed structure of La6Er2Tm3, from Alexandria via LeMat-Bulk.

```
data_La6Er2Tm3
_chemical_formula_sum 'La6 Er2 Tm3'
_space_group_name_H-M_alt 'P 1'
_space_group_IT_number 1
_space_group_name_Hall 'P 1'
_cell_length_a 6.706
_cell_length_b 6.728
_cell_length_c 9.803
_cell_angle_alpha 98.36
_cell_angle_beta 98.30
_cell_angle_gamma 117.99
loop_
_atom_site_label
_atom_site_fract_x
_atom_site_fract_y
_atom_site_fract_z
_atom_site_occupancy
La1 0.185 0.096 0.155 1
La2 0.210 0.279 0.493 1
La3 0.285 0.766 0.764 1
La4 0.715 0.234 0.236 1
La5 0.790 0.721 0.507 1
La6 0.815 0.904 0.845 1
Er1 0.401 0.314 0.848 1
Er2 0.599 0.686 0.152 1
Tm1 0.000 0.500 0.000 1
Tm2 0.273 0.763 0.377 1
Tm3 0.727 0.237 0.623 1
```

**Energy relative to the elements**: 0.13 eV per atom
**M_tot**: 0.0 μB per cell

---

Record 2
The following is a PBE-GGA calculation of a relaxed structure of NiTeOs2, from Alexandria via LeMat-Bulk.

```
data_NiTeOs2
_chemical_formula_sum 'Ni1 Te1 Os2'
_space_group_name_H-M_alt 'P 1'
_space_group_IT_number 1
_space_group_name_Hall 'P 1'
_cell_length_a 2.866
_cell_length_b 2.866
_cell_length_c 9.304
_cell_angle_alpha 90.00
_cell_angle_beta 90.00
_cell_angle_gamma 120.26
loop_
_atom_site_label
_atom_site_fract_x
_atom_site_fract_y
_atom_site_fract_z
_atom_site_occupancy
Ni1 0.000 0.000 0.000 1
Te1 0.500 0.500 0.755 1
Os1 0.000 0.000 0.458 1
Os2 0.500 0.500 0.228 1
```

**Energy relative to the elements, uncorrected**: 929 meV per atom
**M_tot**: 0.1 μB per cell

---

Record 3
The following is a PBE-GGA calculation of a relaxed structure of MgAlPd6, from Alexandria via LeMat-Bulk.

```
data_MgAlPd6
_chemical_formula_sum 'Mg1 Al1 Pd6'
_space_group_name_H-M_alt 'P 1'
_space_group_IT_number 1
_space_group_name_Hall 'P 1'
_cell_length_a 5.578
_cell_length_b 5.578
_cell_length_c 3.917
_cell_angle_alpha 90.00
_cell_angle_beta 90.00
_cell_angle_gamma 90.23
loop_
_atom_site_label
_atom_site_fract_x
_atom_site_fract_y
_atom_site_fract_z
_atom_site_occupancy
Mg1 0.000 0.000 0.000 1
Al1 0.500 0.500 0.000 1
Pd1 0.000 0.500 0.000 1
Pd2 0.254 0.746 0.500 1
Pd3 0.256 0.256 0.500 1
Pd4 0.500 0.000 0.000 1
Pd5 0.744 0.744 0.500 1
Pd6 0.746 0.254 0.500 1
```

**Energy relative to the elements**: -0.54 eV per atom
**M_tot**: 0.0 μB per cell
**E above lowest polymorph**: 0.0 meV/atom

---

Record 4
The following is a PBE-GGA calculation of a relaxed structure of Be3SbPd, from Alexandria via LeMat-Bulk.

```
data_Be3SbPd
_chemical_formula_sum 'Be3 Sb1 Pd1'
_space_group_name_H-M_alt 'P 1'
_space_group_IT_number 1
_space_group_name_Hall 'P 1'
_cell_length_a 4.316
_cell_length_b 4.316
_cell_length_c 4.316
_cell_angle_alpha 90.00
_cell_angle_beta 90.00
_cell_angle_gamma 90.00
loop_
_atom_site_label
_atom_site_fract_x
_atom_site_fract_y
_atom_site_fract_z
_atom_site_occupancy
Be1 0.000 0.000 0.500 1
Be2 0.000 0.500 0.000 1
Be3 0.500 0.000 0.000 1
Sb1 0.500 0.500 0.500 1
Pd1 0.000 0.000 0.000 1
```

**Energy relative to the elements, uncorrected**: 412 meV per atom
**M_tot**: 0.0 μB per cell
**E above lowest polymorph**: 0.0 meV/atom

---

Record 5
The following is a PBE-GGA calculation of a relaxed structure of AlCo3Cu, from Alexandria via LeMat-Bulk.

```
data_AlCo3Cu
_chemical_formula_sum 'Al1 Co3 Cu1'
_space_group_name_H-M_alt 'P 1'
_space_group_IT_number 1
_space_group_name_Hall 'P 1'
_cell_length_a 4.270
_cell_length_b 4.270
_cell_length_c 4.270
_cell_angle_alpha 90.00
_cell_angle_beta 90.00
_cell_angle_gamma 90.00
loop_
_atom_site_label
_atom_site_fract_x
_atom_site_fract_y
_atom_site_fract_z
_atom_site_occupancy
Al1 0.000 0.000 0.000 1
Co1 0.000 0.500 0.500 1
Co2 0.500 0.000 0.500 1
Co3 0.500 0.500 0.000 1
Cu1 0.500 0.500 0.500 1
```

**Energy relative to the elements**: 1.10 eV per atom
**M_tot**: 4.8 μB per cell
**E above lowest polymorph**: 0.0 meV/atom

---

Record 6
The following is a PBE-GGA calculation of a relaxed structure of UZn4Bi, from Alexandria via LeMat-Bulk.

```
data_UZn4Bi
_chemical_formula_sum 'U1 Zn4 Bi1'
_space_group_name_H-M_alt 'P 1'
_space_group_IT_number 1
_space_group_name_Hall 'P 1'
_cell_length_a 5.556
_cell_length_b 5.556
_cell_length_c 5.556
_cell_angle_alpha 60.00
_cell_angle_beta 60.00
_cell_angle_gamma 60.00
loop_
_atom_site_label
_atom_site_fract_x
_atom_site_fract_y
_atom_site_fract_z
_atom_site_occupancy
U1 0.000 0.000 0.000 1
Zn1 0.375 0.375 0.375 1
Zn2 0.375 0.375 0.876 1
Zn3 0.375 0.876 0.375 1
Zn4 0.876 0.375 0.375 1
Bi1 0.750 0.750 0.750 1
```

**Energy relative to the elements**: 0.19 eV per atom
**M_tot**: 3.1 μB per cell

---

Record 7
The following is a PBE-GGA calculation of a relaxed structure of TiHOF2, from Alexandria via LeMat-Bulk.

```
data_TiHOF2
_chemical_formula_sum 'Ti1 H1 O1 F2'
_space_group_name_H-M_alt 'P 1'
_space_group_IT_number 1
_space_group_name_Hall 'P 1'
_cell_length_a 3.968
_cell_length_b 3.968
_cell_length_c 3.708
_cell_angle_alpha 90.00
_cell_angle_beta 90.00
_cell_angle_gamma 90.00
loop_
_atom_site_label
_atom_site_fract_x
_atom_site_fract_y
_atom_site_fract_z
_atom_site_occupancy
Ti1 0.000 0.000 0.000 1
H1 0.500 0.500 0.500 1
O1 0.000 0.000 0.500 1
F1 0.000 0.500 0.000 1
F2 0.500 0.000 0.000 1
```

**M_tot**: 1.0 μB per cell
**E above lowest polymorph**: 0.0 meV/atom

---

Record 8
The following is a PBE-GGA calculation of a relaxed structure of Ti2GeOs2, from Alexandria via LeMat-Bulk.

```
data_Ti2GeOs2
_chemical_formula_sum 'Ti4 Ge2 Os4'
_space_group_name_H-M_alt 'P 1'
_space_group_IT_number 1
_space_group_name_Hall 'P 1'
_cell_length_a 7.253
_cell_length_b 7.253
_cell_length_c 3.051
_cell_angle_alpha 90.00
_cell_angle_beta 90.00
_cell_angle_gamma 90.00
loop_
_atom_site_label
_atom_site_fract_x
_atom_site_fract_y
_atom_site_fract_z
_atom_site_occupancy
Ti1 0.158 0.342 0.000 1
Ti2 0.342 0.842 0.000 1
Ti3 0.658 0.158 0.000 1
Ti4 0.842 0.658 0.000 1
Ge1 0.000 0.000 0.500 1
Ge2 0.500 0.500 0.500 1
Os1 0.140 0.640 0.500 1
Os2 0.360 0.140 0.500 1
Os3 0.640 0.860 0.500 1
Os4 0.860 0.360 0.500 1
```

**Energy relative to the elements**: -0.13 eV per atom
**M_tot**: 0.0 μB per cell

---

Question: Number 1 is which compound?
Answer: La6Er2Tm3